Here is a geometry-optimized AlZnCoCu structure from OQMD. Energies are from PBE.

Cell and atoms, written as CIF:
```
data_AlZnCoCu
_chemical_formula_sum 'Al4 Zn4 Co4 Cu4'
_cell_length_a 5.801
_cell_length_b 5.801
_cell_length_c 5.801
_cell_angle_alpha 90.00
_cell_angle_beta 90.00
_cell_angle_gamma 90.00
_symmetry_space_group_name_H-M 'F -4 3 m'
_symmetry_Int_Tables_number 216
_symmetry_space_group_name_Hall 'F -4 2 3'
loop_
_atom_site_label
_atom_site_type_symbol
_atom_site_fract_x
_atom_site_fract_y
_atom_site_fract_z
Al1 Al 0.000 0.000 0.000
Zn1 Zn 0.000 0.000 0.500
Co1 Co 0.250 0.250 0.750
Cu1 Cu 0.250 0.250 0.250
```

Results
**Crystal system**: cubic
**Total magnetic moment**: 0.01 μB per formula unit
**Mass density**: 7.310 g/cm3
**VASP energy**: -4.160 eV/atom